No. 1
CaSmSn: optimized geometry, PBE.

a = 5.1525 Å, b = 5.1526 Å, c = 9.2935 Å
α = 90.00°, β = 90.00°, γ = 60.00°
With the nearest neighbours (Å) after each atom.
Fractional coordinates of all 6 atoms:
Sn  0.8215  0.2275  0.1317  1 Sn 2.93, 3 Ca 3.16, 1 Sm 3.18
Sn  0.8215  0.2275  0.4464  1 Sn 2.93, 3 Ca 3.16, 1 Sm 3.18
Ca  0.1549  0.5607  0.0182  3 Sn 3.16
Ca  0.1550  0.5607  0.5599  3 Sn 3.16
Sm  0.4882  0.8941  0.2891  6 Sn 3.31-3.32
Sm  0.8216  0.2273  0.7891  2 Sn 3.18

- Theoretical density: 4.80 g/cm3
- SG: No. 187
- ΔH_f (0 K): -264 meV per atom

=====

No. 2
Sr2CaSm: optimized geometry, PBE.

a = 3.9479 Å, b = 3.9479 Å, c = 13.3525 Å
α = 81.50°, β = 81.50°, γ = 60.00°
With the nearest neighbours (Å) after each atom.
Fractional coordinates of all 4 atoms:
Sr  0.2527  0.2527  0.2419  3 Sm 3.91, 6 Sr 3.95, 3 Ca 4.09
Sr  0.0806  0.0806  0.7583  3 Sm 3.91, 6 Sr 3.95, 3 Ca 4.10
Sm  0.6666  0.6666  0.0001  6 Sr 3.91, 6 Sm 3.95
Ca  0.5001  0.5001  0.4997  6 Ca 3.95, 6 Sr 4.09-4.10

- Theoretical density: 3.42 g/cm3
- SG: No. 160
- ΔH_f (0 K): 126 meV per atom

=====

No. 3
SrCa4Sm: optimized geometry, PBE.

a = 4.0471 Å, b = 4.0471 Å, c = 15.3494 Å
α = 90.00°, β = 90.00°, γ = 90.00°
With the nearest neighbours (Å) after each atom.
Fractional coordinates of all 6 atoms:
Ca  0.5000  0.5000  0.8116  8 Ca 3.81-4.05, 4 Sr 4.07
Sr  0.0000  0.0000  0.0000  4 Sr 4.05, 8 Ca 4.07
Ca  0.0000  0.0000  0.6476  4 Sm 3.65, 8 Ca 3.81-4.05
Sm  0.5000  0.5000  0.5000  8 Ca 3.65, 4 Sm 4.05
Ca  0.5000  0.5000  0.1884  8 Ca 3.81-4.05, 4 Sr 4.07
Ca  0.0000  0.0000  0.3524  4 Sm 3.65, 8 Ca 3.81-4.05

- Theoretical density: 2.63 g/cm3
- SG: No. 123
- ΔH_f (0 K): 58 meV per atom

=====

No. 4
SrCa2Sm: optimized geometry, PBE.

a = 3.8711 Å, b = 3.8711 Å, c = 13.0339 Å
α = 81.46°, β = 81.46°, γ = 60.00°
With the nearest neighbours (Å) after each atom.
Fractional coordinates of all 4 atoms:
Ca  0.2545  0.2545  0.2366  3 Sm 3.78, 6 Ca 3.87, 3 Sr 4.06
Sr  0.4999  0.4999  0.5004  6 Sr 3.87, 6 Ca 4.05-4.06
Ca  0.0788  0.0788  0.7637  3 Sm 3.76, 6 Ca 3.87, 3 Sr 4.05
Sm  0.6669  0.6669  0.9993  6 Ca 3.76-3.78, 6 Sm 3.87

- Theoretical density: 3.17 g/cm3
- SG: No. 160
- ΔH_f (0 K): 96 meV per atom

=====

No. 5
SrCaSm2: optimized geometry, PBE.

a = 5.7405 Å, b = 5.1992 Å, c = 5.1992 Å
α = 90.00°, β = 90.00°, γ = 90.00°
With the nearest neighbours (Å) after each atom.
Fractional coordinates of all 4 atoms:
Sm  0.0000  0.5000  0.0000  4 Sm 3.68, 4 Ca 3.87, 4 Sr 3.87
Sm  0.0000  0.0000  0.5000  4 Sm 3.68, 4 Ca 3.87, 4 Sr 3.87
Ca  0.5000  0.5000  0.5000  4 Sr 3.68, 8 Sm 3.87
Sr  0.5000  0.0000  0.0000  4 Ca 3.68, 8 Sm 3.87

- Theoretical density: 4.58 g/cm3
- SG: No. 123
- ΔH_f (0 K): 190 meV per atom

=====

No. 6
SrCa2Sm: optimized geometry, PBE.

a = 6.1551 Å, b = 6.1551 Å, c = 6.1551 Å
α = 60.00°, β = 60.00°, γ = 60.00°
With the nearest neighbours (Å) after each atom.
Fractional coordinates of all 4 atoms:
Ca  0.7500  0.7500  0.7500  4 Sr 3.77, 4 Sm 3.77
Sr  0.5000  0.5000  0.5000  8 Ca 3.77
Ca  0.2500  0.2500  0.2500  4 Sr 3.77, 4 Sm 3.77
Sm  0.0000  0.0000  0.0000  8 Ca 3.77

- Theoretical density: 3.20 g/cm3
- SG: No. 225
- ΔH_f (0 K): 124 meV per atom

=====

No. 7
SrCa4Sm: optimized geometry, PBE.

a = 7.1979 Å, b = 7.1979 Å, c = 7.1979 Å
α = 60.00°, β = 60.00°, γ = 60.00°
With the nearest neighbours (Å) after each atom.
Fractional coordinates of all 6 atoms:
Ca  0.6258  0.6258  0.6258  6 Ca 3.58-3.62
Ca  0.6258  0.1227  0.6258  6 Ca 3.58-3.62
Sr  0.2500  0.2500  0.2500  12 Ca 4.22, 4 Sm 4.41
Ca  0.1227  0.6258  0.6258  6 Ca 3.58-3.62
Sm  0.0000  0.0000  0.0000  12 Ca 4.22, 4 Sr 4.41
Ca  0.6258  0.6258  0.1227  6 Ca 3.58-3.62

- Theoretical density: 2.51 g/cm3
- SG: No. 216
- ΔH_f (0 K): 198 meV per atom

=====

No. 8
SrCaSm2: optimized geometry, PBE.

a = 4.1527 Å, b = 4.1527 Å, c = 9.1532 Å
α = 90.00°, β = 90.00°, γ = 90.00°
With the nearest neighbours (Å) after each atom.
Fractional coordinates of all 4 atoms:
Ca  0.5000  0.5000  0.0000  8 Sm 3.54
Sm  0.0000  0.0000  0.2151  4 Ca 3.54, 4 Sr 3.93, 1 Sm 3.94
Sm  0.0000  0.0000  0.7849  4 Ca 3.54, 4 Sr 3.93, 1 Sm 3.94
Sr  0.5000  0.5000  0.5000  8 Sm 3.93, 4 Sr 4.15

- Theoretical density: 4.51 g/cm3
- SG: No. 123
- ΔH_f (0 K): 185 meV per atom

=====

No. 9
Sr2CaSm: optimized geometry, PBE.

a = 6.2825 Å, b = 6.2825 Å, c = 6.2825 Å
α = 60.00°, β = 60.00°, γ = 60.00°
With the nearest neighbours (Å) after each atom.
Fractional coordinates of all 4 atoms:
Ca  0.5000  0.5000  0.5000  8 Sr 3.85
Sr  0.2500  0.2500  0.2500  4 Ca 3.85, 4 Sm 3.85
Sm  0.0000  0.0000  0.0000  8 Sr 3.85
Sr  0.7500  0.7500  0.7500  4 Ca 3.85, 4 Sm 3.85

- Theoretical density: 3.46 g/cm3
- SG: No. 225
- ΔH_f (0 K): 151 meV per atom

=====

No. 10
Sr2CaSm: optimized geometry, PBE.

a = 3.9414 Å, b = 3.9414 Å, c = 11.4602 Å
α = 90.00°, β = 90.00°, γ = 90.00°
With the nearest neighbours (Å) after each atom.
Fractional coordinates of all 4 atoms:
Sr  0.0000  0.0000  0.2391  4 Sm 3.91, 4 Sr 3.94, 4 Ca 4.09
Sr  0.0000  0.0000  0.7609  4 Sm 3.91, 4 Sr 3.94, 4 Ca 4.09
Sm  0.5000  0.5000  0.0000  8 Sr 3.91, 4 Sm 3.94
Ca  0.5000  0.5000  0.5000  4 Ca 3.94, 8 Sr 4.09

- Theoretical density: 3.41 g/cm3
- SG: No. 123
- ΔH_f (0 K): 129 meV per atom

=====

No. 11
SrCa2Sm: optimized geometry, PBE.

a = 4.1025 Å, b = 4.1025 Å, c = 9.9167 Å
α = 90.00°, β = 90.00°, γ = 90.00°
With the nearest neighbours (Å) after each atom.
Fractional coordinates of all 4 atoms:
Ca  0.0000  0.0000  0.2233  4 Sm 3.65, 4 Sr 3.99
Ca  0.0000  0.0000  0.7767  4 Sm 3.65, 4 Sr 3.99
Sm  0.5000  0.5000  0.0000  8 Ca 3.65
Sr  0.5000  0.5000  0.5000  8 Ca 3.99, 4 Sr 4.10

- Theoretical density: 3.17 g/cm3
- SG: No. 123
- ΔH_f (0 K): 83 meV per atom

=====

No. 12
Sr3Ca12Sm: optimized geometry, PBE.

a = 5.6674 Å, b = 5.6674 Å, c = 21.6769 Å
α = 90.00°, β = 90.00°, γ = 90.00°
With the nearest neighbours (Å) after each atom.
Fractional coordinates of all 16 atoms:
Ca  0.0000  0.5000  0.1135  8 Ca 3.75-4.01, 2 Sm 3.75, 2 Sr 3.95
Ca  0.0000  0.5000  0.6297  8 Ca 3.96-4.01, 4 Sr 3.99-4.00
Ca  0.5000  0.0000  0.6297  8 Ca 3.96-4.01, 4 Sr 3.99-4.00
Sr  0.0000  0.0000  0.2404  12 Ca 3.95-4.01
Ca  0.5000  0.5000  0.7575  8 Ca 3.96-3.98, 4 Sr 4.01
Sr  0.0000  0.0000  0.7596  12 Ca 3.95-4.01
Ca  0.5000  0.5000  0.5000  8 Ca 3.99, 4 Sr 4.01
Ca  0.5000  0.5000  0.0000  8 Ca 3.75, 4 Sm 4.01
Sm  0.0000  0.0000  0.0000  12 Ca 3.75-4.01
Sr  0.0000  0.0000  0.5000  12 Ca 3.99-4.01
Ca  0.0000  0.5000  0.8865  2 Sm 3.75, 8 Ca 3.75-4.01, 2 Sr 3.95
Ca  0.0000  0.5000  0.3703  8 Ca 3.96-4.01, 4 Sr 3.99-4.00
Ca  0.5000  0.5000  0.2425  8 Ca 3.96-3.98, 4 Sr 4.01
Ca  0.5000  0.0000  0.3703  8 Ca 3.96-4.01, 4 Sr 3.99-4.00
Ca  0.5000  0.0000  0.8865  2 Sm 3.75, 8 Ca 3.75-4.01, 2 Sr 3.95
Ca  0.5000  0.0000  0.1135  8 Ca 3.75-4.01, 2 Sm 3.75, 2 Sr 3.95

- Theoretical density: 2.13 g/cm3
- SG: No. 123
- ΔH_f (0 K): 40 meV per atom